No. 1
{"formula": "Be2TcTe", "functional": "PBEsol", "state": "relaxed", "cell": [[-2.3652, 4.7696, 0.6074], [-4.1656, 0.5140, 3.3779], [1.7659, 3.4036, 3.7847]], "species": ["Be", "Be", "Be", "Be", "Te", "Te", "Tc", "Tc"], "fractional_positions": [[0.1343, 0.9907, 0.4907], [0.6157, 0.0093, 0.5093], [0.3750, 0.4907, 0.0093], [0.8750, 0.5093, 0.9907], [0.7500, 0.5000, 0.5000], [0.0000, 0.0000, 0.0000], [0.2500, 0.5000, 0.5000], [0.5000, 0.0000, 0.0000]], "space_group": "I-42d (122)", "raw_formation_energy_ev_per_atom": 0.777, "m_tot_mub_per_cell": 1.80}

=====

No. 2
{"formula": "Ti2Be2Tc", "functional": "PBEsol", "state": "relaxed", "cell": [[-0.3845, 3.0669, -0.9119], [-5.5874, -1.3858, -2.3048], [-2.5856, 1.3062, 5.4827]], "species": ["Be", "Be", "Be", "Be", "Tc", "Tc", "Ti", "Ti", "Ti", "Ti"], "fractional_positions": [[0.0000, 0.3829, 0.8829], [0.0000, 0.8829, 0.6171], [0.0000, 0.6171, 0.1171], [0.0000, 0.1171, 0.3829], [0.0000, 0.0000, 0.0000], [0.0000, 0.5000, 0.5000], [0.5000, 0.1827, 0.6827], [0.5000, 0.6827, 0.8173], [0.5000, 0.8173, 0.3173], [0.5000, 0.3173, 0.1827]], "space_group": "P4/mbm (127)", "ef_ev_per_atom": -0.212, "m_tot_mub_per_cell": 0.00}

=====

No. 3
{"formula": "BeTlTc2", "functional": "PBEsol", "state": "relaxed", "cell": [[-0.4988, -1.9050, 3.8761], [2.1966, -3.6335, 0.9351], [3.2337, 0.1013, 2.9042]], "species": ["Be", "Tl", "Tc", "Tc"], "fractional_positions": [[0.0000, 0.0000, 0.0000], [0.5000, 0.5000, 0.5000], [0.2500, 0.2500, 0.2500], [0.7500, 0.7500, 0.7500]], "e_above_lowest_polymorph_mev_per_atom": 554, "space_group": "Fm-3m (225)", "ef_ev_per_atom": 0.730, "m_tot_mub_per_cell": 0.01}

=====

No. 4
{"formula": "Be2TlTc", "functional": "PBEsol", "state": "relaxed", "cell": [[3.2035, 0.0000, 0.0000], [-1.6018, 4.0762, -0.0473], [0.0000, -0.9078, 4.4468]], "species": ["Be", "Be", "Tl", "Tc"], "fractional_positions": [[0.7872, 0.5744, 0.8868], [0.2128, 0.4256, 0.1132], [0.0000, 0.0000, 0.5000], [0.5000, 0.0000, 0.0000]], "e_above_lowest_polymorph_mev_per_atom": 0, "space_group": "C2/m (12)", "ef_ev_per_atom": 0.380, "m_tot_mub_per_cell": 0.00}

=====

No. 5
{"formula": "BeTl2Tc", "functional": "PBEsol", "state": "relaxed", "cell": [[-2.4625, 2.5171, 1.2166], [0.0540, -1.8300, 3.8956], [4.4062, 2.2268, -1.3931]], "species": ["Be", "Tl", "Tl", "Tc"], "fractional_positions": [[0.5000, 0.0000, 0.0000], [0.7689, 0.7689, 0.5378], [0.2311, 0.2311, 0.4622], [0.0000, 0.5000, 0.0000]], "e_above_lowest_polymorph_mev_per_atom": 95, "space_group": "Immm (71)", "ef_ev_per_atom": 0.767, "m_tot_mub_per_cell": 0.00}

=====

No. 6
{"formula": "BeTlTc2", "functional": "PBEsol", "state": "relaxed", "cell": [[-2.9397, 0.1262, 0.5138], [-0.1832, -2.9641, -0.3202], [1.0921, -0.7626, 6.4353]], "species": ["Be", "Tl", "Tc", "Tc"], "fractional_positions": [[0.5000, 0.5000, 0.8092], [0.0000, 0.0000, 0.5174], [0.0000, 0.0000, 0.9722], [0.5000, 0.5000, 0.2012]], "e_above_lowest_polymorph_mev_per_atom": 0, "space_group": "P4mm (99)", "ef_ev_per_atom": 0.176, "m_tot_mub_per_cell": 0.00}

=====

No. 7
{"formula": "BeTl2Tc", "functional": "PBEsol", "state": "relaxed", "cell": [[3.9207, 0.0000, 0.0000], [0.0000, 3.9207, 0.0000], [-1.9604, -1.9604, 4.4723]], "species": ["Be", "Tl", "Tl", "Tc"], "fractional_positions": [[0.5000, 0.5000, 0.0000], [0.0000, 0.0000, 0.0000], [0.7500, 0.2500, 0.5000], [0.2500, 0.7500, 0.5000]], "e_above_lowest_polymorph_mev_per_atom": 0, "space_group": "I-4m2 (119)", "ef_ev_per_atom": 0.672, "m_tot_mub_per_cell": 0.62}

=====

No. 8
{"formula": "Be2TlTc", "functional": "PBEsol", "state": "relaxed", "cell": [[5.3182, -0.0056, 0.0000], [-2.5845, 4.6480, 0.0000], [-1.3668, -2.3212, 4.5855]], "species": ["Be", "Be", "Be", "Be", "Tl", "Tl", "Tc", "Tc"], "fractional_positions": [[0.6250, 0.6015, 0.4765], [0.1250, 0.1485, 0.5235], [0.8515, 0.3750, 0.9765], [0.3985, 0.8750, 0.0235], [0.0000, 0.0000, 0.0000], [0.2500, 0.7500, 0.5000], [0.5000, 0.5000, 0.0000], [0.7500, 0.2500, 0.5000]], "e_above_lowest_polymorph_mev_per_atom": 313, "space_group": "I-42d (122)", "ef_ev_per_atom": 0.692, "m_tot_mub_per_cell": 0.00}

=====

No. 9
{"formula": "BeTl2Tc", "functional": "PBEsol", "state": "relaxed", "cell": [[4.6208, 0.0000, 0.0000], [2.3104, 4.0017, 0.0000], [2.3104, 1.3339, 3.7729]], "species": ["Be", "Tl", "Tl", "Tc"], "fractional_positions": [[0.0000, 0.0000, 0.0000], [0.2500, 0.2500, 0.2500], [0.7500, 0.7500, 0.7500], [0.5000, 0.5000, 0.5000]], "e_above_lowest_polymorph_mev_per_atom": 263, "space_group": "Fm-3m (225)", "ef_ev_per_atom": 0.935, "m_tot_mub_per_cell": 0.00}

=====

No. 10
{"formula": "Be4TcW", "functional": "PBEsol", "state": "relaxed", "cell": [[-4.0560, -0.3305, -1.5988], [-3.0546, -2.1985, 2.2255], [-3.2868, 2.1565, 1.9140]], "species": ["Be", "Be", "Be", "Be", "Tc", "W"], "fractional_positions": [[0.3741, 0.3741, 0.3741], [0.3741, 0.3741, 0.8776], [0.8776, 0.3741, 0.3741], [0.3741, 0.8776, 0.3741], [0.7500, 0.7500, 0.7500], [0.0000, 0.0000, 0.0000]], "space_group": "F-43m (216)", "ef_ev_per_atom": -0.362, "m_tot_mub_per_cell": 0.00}

=====

No. 11
{"formula": "Be2TcW2", "functional": "PBEsol", "state": "relaxed", "cell": [[-2.1553, 1.7988, 1.4600], [-4.4664, -3.5642, -2.2021], [0.3928, -3.5608, 4.9667]], "species": ["Be", "Be", "Be", "Be", "Tc", "Tc", "W", "W", "W", "W"], "fractional_positions": [[0.0000, 0.3798, 0.8798], [0.0000, 0.8798, 0.6202], [0.0000, 0.6202, 0.1202], [0.0000, 0.1202, 0.3798], [0.0000, 0.0000, 0.0000], [0.0000, 0.5000, 0.5000], [0.5000, 0.1742, 0.6742], [0.5000, 0.6742, 0.8258], [0.5000, 0.8258, 0.3258], [0.5000, 0.3258, 0.1742]], "space_group": "P4/mbm (127)", "ef_ev_per_atom": -0.152, "m_tot_mub_per_cell": 0.00}

=====

No. 12
{"formula": "Be3TcW", "functional": "PBEsol", "state": "relaxed", "cell": [[3.9592, 0.0000, 0.0000], [0.0000, 3.9592, 0.0000], [0.0000, 0.0000, 3.9592]], "species": ["Be", "Be", "Be", "Tc", "W"], "fractional_positions": [[0.0000, 0.5000, 0.0000], [0.0000, 0.0000, 0.5000], [0.5000, 0.0000, 0.0000], [0.0000, 0.0000, 0.0000], [0.5000, 0.5000, 0.5000]], "space_group": "Pm-3m (221)", "ef_ev_per_atom": 1.196, "m_tot_mub_per_cell": 0.00}

=====

No. 13
{"formula": "Y2BeTc", "functional": "PBEsol", "state": "relaxed", "cell": [[3.3936, 0.0000, 0.0000], [1.6968, 2.9389, 0.0000], [1.6968, 0.9796, 8.2995]], "species": ["Y", "Y", "Be", "Tc"], "fractional_positions": [[0.2522, 0.2522, 0.2435], [0.7478, 0.7478, 0.7565], [0.5000, 0.5000, 0.5000], [0.0000, 0.0000, 0.0000]], "space_group": "R-3m (166)", "ef_ev_per_atom": 0.448, "m_tot_mub_per_cell": 0.00}

=====

No. 14
{"formula": "YBeTc", "functional": "PBEsol", "state": "relaxed", "cell": [[-1.2327, 2.1804, -3.5719], [-3.2075, -1.5621, -2.5107], [-3.8689, 2.0132, -0.1000]], "species": ["Y", "Be", "Tc"], "fractional_positions": [[0.2500, 0.2500, 0.2500], [0.0000, 0.0000, 0.0000], [0.5000, 0.5000, 0.5000]], "e_above_lowest_polymorph_mev_per_atom": 1036, "space_group": "F-43m (216)", "ef_ev_per_atom": 1.483, "m_tot_mub_per_cell": 0.74}

=====

No. 15
{"formula": "Y2BeTc", "functional": "PBEsol", "state": "relaxed", "cell": [[4.1933, 0.0000, 0.0000], [0.0000, 4.1933, 0.0000], [-2.0966, -2.0966, 4.2604]], "species": ["Y", "Y", "Be", "Tc"], "fractional_positions": [[0.0000, 0.0000, 0.0000], [0.7500, 0.2500, 0.5000], [0.5000, 0.5000, 0.0000], [0.2500, 0.7500, 0.5000]], "space_group": "I-4m2 (119)", "ef_ev_per_atom": 0.303, "m_tot_mub_per_cell": 0.00}

=====

No. 16
{"formula": "YBeTc", "functional": "PBEsol", "state": "relaxed", "cell": [[4.1776, 0.0000, 0.0000], [2.0888, 3.6179, 0.0000], [2.0888, 1.2060, 3.4110]], "species": ["Y", "Be", "Tc"], "fractional_positions": [[0.5000, 0.5000, 0.5000], [0.2500, 0.2500, 0.2500], [0.0000, 0.0000, 0.0000]], "e_above_lowest_polymorph_mev_per_atom": 0, "space_group": "F-43m (216)", "ef_ev_per_atom": 0.447, "m_tot_mub_per_cell": 0.00}

=====

No. 17
{"formula": "YBeTc2", "functional": "PBEsol", "state": "relaxed", "cell": [[3.3483, 0.0000, 0.0000], [0.0000, 4.2111, 0.0000], [0.0000, 0.0000, 4.3726]], "species": ["Y", "Be", "Tc", "Tc"], "fractional_positions": [[0.5000, 0.0000, 0.5000], [0.0000, 0.5000, 0.5000], [0.0000, 0.0000, 0.0000], [0.5000, 0.5000, 0.0000]], "space_group": "Pmmm (47)", "ef_ev_per_atom": 0.320, "m_tot_mub_per_cell": 0.00}

=====

No. 18
{"formula": "Be2ZnTc", "functional": "PBEsol", "state": "relaxed", "cell": [[3.3103, 0.0000, 0.0000], [0.0000, 3.3103, 0.0000], [-1.6552, -1.6552, 3.9705]], "species": ["Be", "Be", "Zn", "Tc"], "fractional_positions": [[0.0000, 0.0000, 0.0000], [0.7500, 0.2500, 0.5000], [0.2500, 0.7500, 0.5000], [0.5000, 0.5000, 0.0000]], "space_group": "I-4m2 (119)", "ef_ev_per_atom": -0.008, "m_tot_mub_per_cell": 0.00}

=====

No. 19
{"formula": "Be2ZnTc", "functional": "PBEsol", "state": "relaxed", "cell": [[2.7071, 0.0000, 0.0000], [0.0000, 4.2110, 0.0000], [-1.3536, -2.1055, 3.9764]], "species": ["Be", "Be", "Zn", "Tc"], "fractional_positions": [[0.7536, 0.7536, 0.5073], [0.2464, 0.2464, 0.4927], [0.5000, 0.0000, 0.0000], [0.0000, 0.5000, 0.0000]], "space_group": "Immm (71)", "ef_ev_per_atom": 0.154, "m_tot_mub_per_cell": 0.00}

=====

No. 20
{"formula": "Be2ZnTc", "functional": "PBEsol", "state": "relaxed", "cell": [[-1.8249, -0.7028, 1.7345], [-1.7676, -1.8205, -0.6277], [3.6037, -6.4596, 3.1439]], "species": ["Be", "Be", "Zn", "Tc"], "fractional_positions": [[0.2484, 0.2484, 0.2549], [0.7516, 0.7516, 0.7451], [0.0000, 0.0000, 0.0000], [0.5000, 0.5000, 0.5000]], "space_group": "R-3m (166)", "ef_ev_per_atom": 0.195, "m_tot_mub_per_cell": 0.00}

=====

No. 21
{"formula": "Be2ZnTc", "functional": "PBEsol", "state": "relaxed", "cell": [[2.5043, -0.0020, 0.0000], [-0.6468, 2.4193, 0.0000], [0.0000, 0.0000, 7.5419]], "species": ["Be", "Be", "Zn", "Tc"], "fractional_positions": [[0.0000, 0.0000, 0.9802], [0.5000, 0.5000, 0.7659], [0.5000, 0.5000, 0.2305], [0.0000, 0.0000, 0.5234]], "space_group": "Cmm2 (35)", "ef_ev_per_atom": 0.220, "m_tot_mub_per_cell": 0.00}

=====

No. 22
{"formula": "Be2ZnTc", "functional": "PBEsol", "state": "relaxed", "cell": [[-0.2921, 2.2918, -1.0301], [-2.7290, -0.7870, -0.9771], [-2.3138, 1.9160, 4.9190]], "species": ["Be", "Be", "Zn", "Tc"], "fractional_positions": [[0.0000, 0.0000, 0.0358], [0.5000, 0.5000, 0.2197], [0.5000, 0.5000, 0.7825], [0.0000, 0.0000, 0.4621]], "space_group": "Pmm2 (25)", "ef_ev_per_atom": 0.087, "m_tot_mub_per_cell": 0.00}

=====

No. 23
{"formula": "ZrBeTc2", "functional": "PBEsol", "state": "relaxed", "cell": [[2.7369, 0.0072, 0.0000], [-0.5108, 4.8889, 0.0000], [-1.1130, -2.4481, 4.3274]], "species": ["Be", "Tc", "Tc", "Zr"], "fractional_positions": [[0.0000, 0.5000, 0.0000], [0.0000, 0.0000, 0.5000], [0.5000, 0.5000, 0.5000], [0.5000, 0.0000, 0.0000]], "space_group": "C2/m (12)", "ef_ev_per_atom": 0.093, "m_tot_mub_per_cell": 0.00}

=====

No. 24
{"formula": "ZrBe2Tc", "functional": "PBEsol", "state": "relaxed", "cell": [[-2.8887, 0.5420, -1.3843], [0.2171, -2.9615, -1.6126], [-0.6544, -2.3635, 4.2524]], "species": ["Be", "Be", "Tc", "Zr"], "fractional_positions": [[0.8006, 0.0000, 0.6011], [0.6805, 0.5000, 0.3610], [0.1053, 0.0000, 0.2107], [0.4133, 0.5000, 0.8265]], "e_above_lowest_polymorph_mev_per_atom": 0, "space_group": "Amm2 (38)", "ef_ev_per_atom": -0.221, "m_tot_mub_per_cell": 0.00}

=====

No. 25
{"formula": "ZrBe2Tc", "functional": "PBEsol", "state": "relaxed", "cell": [[2.5326, 0.0000, 0.0000], [0.0000, 3.1266, 0.0000], [0.0000, 0.0000, 6.5878]], "species": ["Be", "Be", "Tc", "Zr"], "fractional_positions": [[0.0000, 0.0000, 0.0687], [0.5000, 0.5000, 0.2215], [0.0000, 0.0000, 0.4408], [0.5000, 0.5000, 0.7690]], "e_above_lowest_polymorph_mev_per_atom": 297, "space_group": "Pmm2 (25)", "ef_ev_per_atom": 0.076, "m_tot_mub_per_cell": 0.00}

=====

No. 26
{"formula": "ZrBe2Tc", "functional": "PBEsol", "state": "relaxed", "cell": [[-1.5043, 1.3407, -1.8687], [-1.7376, 0.4215, 2.0869], [3.2783, 5.8391, 1.5502]], "species": ["Be", "Be", "Tc", "Zr"], "fractional_positions": [[0.0000, 0.0000, 0.9351], [0.5000, 0.5000, 0.7801], [0.0000, 0.0000, 0.5601], [0.5000, 0.5000, 0.2247]], "e_above_lowest_polymorph_mev_per_atom": 358, "space_group": "Cmm2 (35)", "ef_ev_per_atom": 0.137, "m_tot_mub_per_cell": 0.00}

=====

No. 27
{"formula": "ZrBe4Tc", "functional": "PBEsol", "state": "relaxed", "cell": [[-2.7442, 0.7692, -3.5461], [-2.0082, -3.4880, -2.1208], [-4.4855, -0.6365, 0.4148]], "species": ["Be", "Be", "Be", "Be", "Tc", "Zr"], "fractional_positions": [[0.3772, 0.3772, 0.3772], [0.3772, 0.3772, 0.8684], [0.8684, 0.3772, 0.3772], [0.3772, 0.8684, 0.3772], [0.7500, 0.7500, 0.7500], [0.0000, 0.0000, 0.0000]], "space_group": "F-43m (216)", "ef_ev_per_atom": -0.309, "m_tot_mub_per_cell": 0.00}

=====

No. 28
{"formula": "BeTe", "functional": "PBEsol", "state": "relaxed", "cell": [[-1.3676, 3.3224, 1.4419], [-3.4194, -0.6765, -1.6844], [-1.9322, -3.0249, 5.1373]], "species": ["Be", "Be", "Te", "Te"], "fractional_positions": [[0.0000, 0.0000, 0.5000], [0.5000, 0.5000, 0.5000], [0.5000, 0.0000, 0.2551], [0.0000, 0.5000, 0.7449]], "e_above_lowest_polymorph_mev_per_atom": 115, "space_group": "P4/nmm (129)", "raw_formation_energy_ev_per_atom": -0.230, "m_tot_mub_per_cell": 0.00}

=====

No. 29
{"formula": "Be4Te", "functional": "PBEsol", "state": "relaxed", "cell": [[-2.6989, 3.5750, 1.6969], [-1.7759, -4.1898, 1.4953], [4.4893, 0.4922, 1.5962]], "species": ["Be", "Be", "Be", "Be", "Te"], "fractional_positions": [[0.0000, 0.0000, 0.5000], [0.0000, 0.5000, 0.0000], [0.5000, 0.5000, 0.5000], [0.5000, 0.0000, 0.0000], [0.0000, 0.0000, 0.0000]], "e_above_lowest_polymorph_mev_per_atom": 742, "space_group": "Im-3m (229)", "raw_formation_energy_ev_per_atom": 1.339, "m_tot_mub_per_cell": 0.00}

=====

no.,Fermi-level density of states (states/eV per cell),raw total energy (eV per formula unit)
1,6.67,-19.69
2,11.56,-36.97
3,5.38,-26.24
4,1.33,-20.38
5,1.48,-17.46
6,2.18,-28.46
7,1.57,-17.84
8,0.52,-19.13
9,2.67,-16.79
10,0.83,-43.25
11,5.60,-47.64
12,2.99,-31.09
13,3.91,-27.12
14,5.67,-17.64
15,3.86,-27.70
16,2.48,-20.75
17,3.04,-32.07
18,3.16,-20.88
19,1.56,-20.23
20,1.93,-20.07
21,1.65,-19.97
22,1.97,-20.50
23,3.22,-35.25
24,2.52,-29.24
25,2.30,-28.05
26,3.78,-27.81
27,4.36,-38.21
28,0.00,-7.99
29,2.23,-12.83